## HfWF3 (PBE with a Hubbard U)

Data for an optimized crystal structure of HfWF3.

VASP energy = -26.68 eV for the cell shown
ρ = 8040 kg/m³
Energy above the most stable polymorph in this dataset = 15.65 kcal/mol of atoms

Unit cell a=4.424 b=4.424 c=4.424 alpha=90.00 beta=90.00 gamma=90.00
Space group Pm-3m (No. 221)
Asymmetric unit:
Hf  0.000  0.000  0.000
W  0.500  0.500  0.500
F  0.000  0.500  0.500